DyErCuTe3 | PBE-GGA | optimized geometry

```
data_DyErCuTe3
_chemical_formula_sum 'Dy2 Er2 Cu2 Te6'
_space_group_name_H-M_alt 'P 1'
_space_group_IT_number 1
_cell_length_a 7.392
_cell_length_b 7.392
_cell_length_c 11.111
_cell_angle_alpha 90.00
_cell_angle_beta 90.00
_cell_angle_gamma 147.71
loop_
_space_group_symop_operation_xyz
'x,y,z'
loop_
_atom_site_label
_atom_site_fract_x
_atom_site_fract_y
_atom_site_fract_z
_atom_site_occupancy
Dy1 0.000 0.000 0.000 1
Dy2 0.000 0.000 0.500 1
Er1 0.226 0.774 0.750 1
Er2 0.774 0.226 0.250 1
Cu1 0.472 0.528 0.250 1
Cu2 0.528 0.472 0.750 1
Te1 0.099 0.901 0.250 1
Te2 0.350 0.650 0.069 1
Te3 0.350 0.650 0.431 1
Te4 0.650 0.350 0.569 1
Te5 0.650 0.350 0.931 1
Te6 0.901 0.099 0.750 1
```

E_tot: -56.34 eV per cell